*A*
Material: Pa2GeTe
Method: DFT, PBE
State: relaxed

Calculated values
SG: P4/mmm, No. 123
Total magnetization in μB per cell: 0.063
Crystal system: tetragonal
V in Å³ per atom: 23.813

The structure in POSCAR format:
```
Pa2GeTe
1.0
-0.700 -3.492 0.598
-0.309 -0.547 -3.557
7.137 -1.498 -0.390
Ge Pa Te
1 2 1
Direct
0.500 0.500 0.000
0.000 0.000 0.770
0.000 0.000 0.230
0.500 0.500 0.500
```


*B*
Material: Pa2GeTe
Method: DFT, PBE
State: relaxed

Calculated values
SG: R-3m, No. 166
Total magnetization in μB per cell: 0.000
Crystal system: trigonal
V in Å³ per atom: 26.909

The structure in POSCAR format:
```
Pa2GeTe
1.0
-0.257 -3.735 1.931
3.485 -2.272 0.666
1.942 1.142 7.063
Ge Pa Te
1 2 1
Direct
0.000 0.000 0.000
0.741 0.741 0.777
0.259 0.259 0.223
0.500 0.500 0.500
```


Least stable = *A*


*A*
Material: PaGeTe
Method: DFT, PBE
State: relaxed

Calculated values
SG: P4/nmm, No. 129
Total magnetization in μB per cell: 0.000
Crystal system: tetragonal
V in Å³ per atom: 25.172

The structure in POSCAR format:
```
PaGeTe
1.0
4.183 0.000 0.000
0.000 4.183 0.000
0.000 0.000 8.632
Pa Ge Te
2 2 2
Direct
0.000 0.500 0.250
0.500 0.000 0.750
0.500 0.500 0.500
0.000 0.000 0.500
0.000 0.500 0.866
0.500 0.000 0.134
```


*B*
Material: PaGeTe
Method: DFT, PBE
State: relaxed

Calculated values
SG: Fddd, No. 70
Total magnetization in μB per cell: 2.660
Crystal system: orthorhombic
V in Å³ per atom: 29.014

The structure in POSCAR format:
```
PaGeTe
1.0
6.916 -1.536 0.000
-2.687 6.555 0.000
-2.114 -2.510 8.449
Pa Te Ge
4 4 4
Direct
0.783 0.217 0.000
0.033 0.967 0.500
0.217 0.783 0.000
0.467 0.533 0.500
0.902 0.902 0.803
0.098 0.098 0.197
0.152 0.652 0.303
0.348 0.848 0.697
0.625 0.375 0.750
0.125 0.375 0.750
0.625 0.875 0.250
0.625 0.375 0.250
```


Least stable = *B*


*A*
Material: ThPa2Ge
Method: DFT, PBE
State: relaxed

Calculated values
SG: P4/mmm, No. 123
Total magnetization in μB per cell: 0.000
Crystal system: tetragonal
V in Å³ per atom: 25.917

The structure in POSCAR format:
```
ThPa2Ge
1.0
-1.491 -3.563 0.522
2.440 -0.585 2.982
-4.637 2.570 4.299
Ge Pa Th
1 2 1
Direct
0.500 0.500 0.000
0.000 0.000 0.802
0.000 0.000 0.198
0.500 0.500 0.500
```


*B*
Material: ThPa2Ge
Method: DFT, PBE
State: relaxed

Calculated values
SG: Fm-3m, No. 225
Total magnetization in μB per cell: 0.000
Crystal system: cubic
V in Å³ per atom: 24.738

The structure in POSCAR format:
```
ThPa2Ge
1.0
-1.715 4.590 1.715
-1.074 0.652 5.037
3.066 2.982 2.943
Ge Pa Th
1 2 1
Direct
0.500 0.500 0.500
0.750 0.750 0.750
0.250 0.250 0.250
0.000 0.000 0.000
```


Least stable = *B*


*A*
Material: Th2PaGe
Method: DFT, PBE
State: relaxed

Calculated values
SG: R-3m, No. 166
Total magnetization in μB per cell: 0.000
Crystal system: trigonal
V in Å³ per atom: 27.036

The structure in POSCAR format:
```
Th2PaGe
1.0
3.295 0.000 0.000
1.647 2.853 0.000
1.647 0.951 11.503
Ge Pa Th
1 1 2
Direct
0.500 0.500 0.500
0.000 0.000 0.000
0.093 0.093 0.720
0.907 0.907 0.280
```


*B*
Material: Th2PaGe
Method: DFT, PBE
State: relaxed

Calculated values
SG: P4/mmm, No. 123
Total magnetization in μB per cell: 0.001
Crystal system: tetragonal
V in Å³ per atom: 26.109

The structure in POSCAR format:
```
Th2PaGe
1.0
-3.656 2.253 -1.337
-2.013 -0.703 4.321
1.956 4.111 1.580
Ge Pa Th
1 1 2
Direct
0.500 0.500 0.500
0.500 0.000 0.000
0.000 0.000 0.500
0.000 0.500 0.000
```


Least stable = *A*


*A*
Material: Pa2TiGe
Method: DFT, PBE
State: relaxed

Calculated values
SG: Fm-3m, No. 225
Total magnetization in μB per cell: 0.000
Crystal system: cubic
V in Å³ per atom: 21.937

The structure in POSCAR format:
```
Pa2TiGe
1.0
4.990 0.000 0.000
2.495 4.321 0.000
2.495 1.440 4.069
Ge Pa Ti
1 2 1
Direct
0.500 0.500 0.500
0.250 0.250 0.250
0.750 0.750 0.750
0.000 0.000 0.000
```


*B*
Material: Pa2TiGe
Method: DFT, PBE
State: relaxed

Calculated values
SG: P4/mmm, No. 123
Total magnetization in μB per cell: 0.000
Crystal system: tetragonal
V in Å³ per atom: 20.595

The structure in POSCAR format:
```
Pa2TiGe
1.0
4.551 0.000 0.000
0.000 4.255 0.000
0.000 0.000 4.255
Ge Pa Ti
1 2 1
Direct
0.500 0.500 0.500
0.000 0.000 0.500
0.000 0.500 0.000
0.500 0.000 0.000
```


Least stable = *A*


*A*
Material: Pa2TiGe2
Method: DFT, PBE
State: relaxed

Calculated values
SG: P4/mbm, No. 127
Total magnetization in μB per cell: 2.558
Crystal system: tetragonal
V in Å³ per atom: 21.337

The structure in POSCAR format:
```
Pa2TiGe2
1.0
4.367 0.000 0.000
0.000 6.990 0.000
0.000 0.000 6.990
Pa Ti Ge
4 2 4
Direct
0.500 0.176 0.676
0.500 0.676 0.824
0.500 0.824 0.324
0.500 0.324 0.176
0.000 0.000 0.000
0.000 0.500 0.500
0.000 0.368 0.868
0.000 0.868 0.632
0.000 0.632 0.132
0.000 0.132 0.368
```


*B*
Material: Pa2TiGe2
Method: DFT, PBE
State: relaxed

Calculated values
SG: Cmc2_1, No. 36
Total magnetization in μB per cell: 0.000
Crystal system: orthorhombic
V in Å³ per atom: 21.436

The structure in POSCAR format:
```
Pa2TiGe2
1.0
-3.066 2.606 2.299
-0.529 -4.216 4.074
7.383 1.945 2.970
Pa Ti Ge
4 2 4
Direct
0.000 0.728 0.001
0.805 0.475 0.611
0.195 0.975 0.389
0.000 0.228 0.999
0.400 0.978 0.800
0.600 0.478 0.200
0.423 0.479 0.845
0.821 0.975 0.641
0.179 0.475 0.359
0.577 0.979 0.155
```


Least stable = *B*


*A*
Material: Pa2TlGe
Method: DFT, PBE
State: relaxed

Calculated values
SG: P4/mmm, No. 123
Total magnetization in μB per cell: 1.233
Crystal system: tetragonal
V in Å³ per atom: 24.049

The structure in POSCAR format:
```
Pa2TlGe
1.0
-0.842 -1.436 -4.054
0.912 -4.388 1.365
-4.507 -0.581 1.142
Tl Pa Ge
1 2 1
Direct
0.500 0.000 0.000
0.000 0.000 0.500
0.000 0.500 0.000
0.500 0.500 0.500
```


*B*
Material: Pa2TlGe
Method: DFT, PBE
State: relaxed

Calculated values
SG: R-3m, No. 166
Total magnetization in μB per cell: 0.000
Crystal system: trigonal
V in Å³ per atom: 26.718

The structure in POSCAR format:
```
Pa2TlGe
1.0
-2.099 1.738 2.528
-0.504 -1.516 3.356
6.348 4.381 4.991
Tl Pa Ge
1 2 1
Direct
0.500 0.500 0.500
0.263 0.263 0.210
0.737 0.737 0.790
0.000 0.000 0.000
```


Least stable = *B*


*A*
Material: PaTlGe2
Method: DFT, PBE
State: relaxed

Calculated values
SG: P4/mmm, No. 123
Total magnetization in μB per cell: 0.000
Crystal system: tetragonal
V in Å³ per atom: 21.832

The structure in POSCAR format:
```
PaTlGe2
1.0
-2.694 0.503 3.043
-3.442 -1.147 -2.857
0.501 -4.437 1.177
Tl Pa Ge
1 1 2
Direct
0.500 0.000 0.000
0.500 0.500 0.500
0.000 0.000 0.500
0.000 0.500 0.000
```


*B*
Material: PaTlGe2
Method: DFT, PBE
State: relaxed

Calculated values
SG: R-3m, No. 166
Total magnetization in μB per cell: 0.000
Crystal system: trigonal
V in Å³ per atom: 24.882

The structure in POSCAR format:
```
PaTlGe2
1.0
4.500 0.000 0.000
2.250 3.897 0.000
2.250 1.299 5.675
Tl Pa Ge
1 1 2
Direct
0.500 0.500 0.500
0.000 0.000 0.000
0.260 0.260 0.220
0.740 0.740 0.780
```


Least stable = *B*